Material: MgZr
Method: DFT, GGA-PBE
State: optimized geometry

abc: 5.603 9.441 5.114
angles: 90.00 90.00 89.99
Positions (direct):
Mg1 0.827 0.494 0.500
Mg2 0.005 0.994 0.000
Zr1 0.514 0.509 0.000
Mg3 0.319 0.001 0.500
Zr2 0.513 0.834 0.000
Zr3 0.013 0.332 0.000
Mg4 0.505 0.172 0.000
Zr4 0.014 0.658 0.000
Mg5 0.327 0.673 0.500
Zr5 0.321 0.345 0.500
Mg6 0.819 0.165 0.500
Zr6 0.820 0.822 0.500

## Properties
* E: -4.9387 eV per atom
* symmetry: No. 26